(1)
# HgSb2As

An optimized crystal structure of HgSb2As (GGA-PBE, the Alexandria database).

Summary:
The calculation puts the energy above the most stable polymorph in this dataset at 17.2 kJ/mol of atoms. The value obtained for the uncorrected formation energy is 0.2096 eV/atom. Its crystal system is tetragonal.

Geometry as CIF:
```
data_HgSb2As
_cell_length_a 3.7968
_cell_length_b 3.7968
_cell_length_c 7.6257
_cell_angle_alpha 90.00
_cell_angle_beta 90.00
_cell_angle_gamma 90.00
_space_group_name_H-M_alt 'P 4/m m m'
_space_group_IT_number 123
_space_group_name_Hall '-P 4 2'
loop_
_atom_site_label
_atom_site_type_symbol
_atom_site_fract_x
_atom_site_fract_y
_atom_site_fract_z
Hg1 Hg 0.0000 0.0000 0.0000
Sb1 Sb 0.5000 0.5000 0.3093
As1 As 0.0000 0.0000 0.5000
```

(2)
# NbSe3I

An optimized crystal structure of NbSe3I (GGA-PBE, the Alexandria database).

Summary:
The calculation puts the energy above the most stable polymorph in this dataset at 0.0 kJ/mol of atoms. The value obtained for the uncorrected formation energy is -0.4283 eV/atom. Its crystal system is orthorhombic.

Geometry as CIF:
```
data_NbSe3I
_cell_length_a 3.3217
_cell_length_b 8.0663
_cell_length_c 10.5266
_cell_angle_alpha 90.00
_cell_angle_beta 90.00
_cell_angle_gamma 90.00
_space_group_name_H-M_alt 'P m m n'
_space_group_IT_number 59
loop_
_space_group_symop_operation_xyz
'x,y,z'
'-x,-y,-z'
'-x+1/2,-y+1/2,z'
'x+1/2,y+1/2,-z'
'x+1/2,-y,-z'
'-x+1/2,y,z'
'-x,y+1/2,-z'
'x,-y+1/2,z'
loop_
_atom_site_label
_atom_site_type_symbol
_atom_site_fract_x
_atom_site_fract_y
_atom_site_fract_z
Nb1 Nb 0.2500 0.2500 0.0088
Se1 Se 0.2500 0.5653 0.1288
Se2 Se 0.2500 0.7500 0.8031
I1 I 0.2500 0.2500 0.5361
```

(3)
# MnBe2Pd2

An optimized crystal structure of MnBe2Pd2 (GGA-PBE, the Alexandria database).

Summary:
The calculation puts the energy above the most stable polymorph in this dataset at 0.0 kJ/mol of atoms. The value obtained for the formation energy is -0.16 eV per atom. Its crystal system is tetragonal.

Geometry as CIF:
```
data_MnBe2Pd2
_cell_length_a 6.5072
_cell_length_b 6.5072
_cell_length_c 2.7040
_cell_angle_alpha 90.00
_cell_angle_beta 90.00
_cell_angle_gamma 90.00
_space_group_name_H-M_alt 'P 4/m b m'
_space_group_IT_number 127
_space_group_name_Hall '-P 4 2ab'
loop_
_atom_site_label
_atom_site_type_symbol
_atom_site_fract_x
_atom_site_fract_y
_atom_site_fract_z
Mn1 Mn 0.0000 0.0000 0.0000
Be1 Be 0.1293 0.3707 0.0000
Pd1 Pd 0.1684 0.6684 0.5000
```

(4)
# Ba2ErPtO5

An optimized crystal structure of Ba2ErPtO5 (GGA-PBE, the Alexandria database).

Summary:
The value obtained for the uncorrected formation energy is -2.1500 eV/atom. Its crystal system is orthorhombic.

Geometry as CIF:
```
data_Ba2ErPtO5
_cell_length_a 3.5504
_cell_length_b 13.9894
_cell_length_c 11.9527
_cell_angle_alpha 90.00
_cell_angle_beta 90.00
_cell_angle_gamma 90.00
_space_group_name_H-M_alt 'C m c 21'
_space_group_IT_number 36
loop_
_space_group_symop_operation_xyz
'x,y,z'
'-x,-y,z+1/2'
'-x,y,z'
'x,-y,z+1/2'
'x+1/2,y+1/2,z'
'-x+1/2,-y+1/2,z+1/2'
'-x+1/2,y+1/2,z'
'x+1/2,-y+1/2,z+1/2'
loop_
_atom_site_label
_atom_site_type_symbol
_atom_site_fract_x
_atom_site_fract_y
_atom_site_fract_z
Ba1 Ba 0.0000 0.0971 0.0000
Ba2 Ba 0.0000 0.1495 0.6197
Er1 Er 0.0000 0.2070 0.3350
Pt1 Pt 0.0000 0.4791 0.7631
O1 O 0.0000 0.0525 0.3712
O2 O 0.0000 0.2773 0.9516
O3 O 0.0000 0.3325 0.7120
O4 O 0.0000 0.3715 0.3029
O5 O 0.0000 0.4850 0.0988
```

(5)
# Rb2RuPtC

An optimized crystal structure of Rb2RuPtC (GGA-PBE, the Alexandria database).

Summary:
The value obtained for the formation energy is 1.10 eV per atom. Its crystal system is tetragonal.

Geometry as CIF:
```
data_Rb2RuPtC
_cell_length_a 6.1985
_cell_length_b 6.1985
_cell_length_c 3.7639
_cell_angle_alpha 90.00
_cell_angle_beta 90.00
_cell_angle_gamma 90.00
_space_group_name_H-M_alt 'P 4/m m m'
_space_group_IT_number 123
_space_group_name_Hall '-P 4 2'
loop_
_atom_site_label
_atom_site_type_symbol
_atom_site_fract_x
_atom_site_fract_y
_atom_site_fract_z
Rb1 Rb 0.0000 0.5000 0.0000
Ru1 Ru 0.0000 0.0000 0.5000
Pt1 Pt 0.5000 0.5000 0.5000
C1 C 0.0000 0.0000 0.0000
```

(6)
# HoCo3P2

An optimized crystal structure of HoCo3P2 (GGA-PBE, the Alexandria database).

Summary:
The calculation puts the energy above the most stable polymorph in this dataset at 2.0 kJ/mol of atoms. The value obtained for the formation energy is -0.92 eV per atom. Its crystal system is monoclinic.

Geometry as CIF:
```
data_HoCo3P2
_cell_length_a 14.8410
_cell_length_b 3.6444
_cell_length_c 9.0726
_cell_angle_alpha 90.00
_cell_angle_beta 107.10
_cell_angle_gamma 90.00
_space_group_name_H-M_alt 'C 1 2/m 1'
_space_group_IT_number 12
loop_
_space_group_symop_operation_xyz
'x,y,z'
'-x,-y,-z'
'-x,y,-z'
'x,-y,z'
'x+1/2,y+1/2,z'
'-x+1/2,-y+1/2,-z'
'-x+1/2,y+1/2,-z'
'x+1/2,-y+1/2,z'
loop_
_atom_site_label
_atom_site_type_symbol
_atom_site_fract_x
_atom_site_fract_y
_atom_site_fract_z
Ho1 Ho 0.0000 0.0000 0.0000
Ho2 Ho 0.1555 0.0000 0.6982
Co1 Co 0.0000 0.5000 0.5000
Co2 Co 0.0462 0.0000 0.3356
Co3 Co 0.1263 0.5000 0.2107
Co4 Co 0.1777 0.5000 0.9661
Co5 Co 0.2177 0.0000 0.3943
P1 P 0.0340 0.5000 0.7775
P2 P 0.1399 0.5000 0.4545
P3 P 0.1982 0.0000 0.1317
```

(7)
# YHoIn

An optimized crystal structure of YHoIn (GGA-PBE, the Alexandria database).

Summary:
The calculation puts the energy above the most stable polymorph in this dataset at 23.6 kJ/mol of atoms. The value obtained for the formation energy is -0.08 eV per atom. Its crystal system is tetragonal.

Geometry as CIF:
```
data_YHoIn
_cell_length_a 4.8235
_cell_length_b 4.8235
_cell_length_c 7.7742
_cell_angle_alpha 90.00
_cell_angle_beta 90.00
_cell_angle_gamma 90.00
_space_group_name_H-M_alt 'P 4/n m m'
_space_group_IT_number 129
loop_
_space_group_symop_operation_xyz
'x,y,z'
'-x,-y,-z'
'-y+1/2,x,z'
'y+1/2,-x,-z'
'-x+1/2,-y+1/2,z'
'x+1/2,y+1/2,-z'
'y,-x+1/2,z'
'-y,x+1/2,-z'
'x+1/2,-y,-z'
'-x+1/2,y,z'
'-y,-x,-z'
'y,x,z'
'-x,y+1/2,-z'
'x,-y+1/2,z'
'y+1/2,x+1/2,-z'
'-y+1/2,-x+1/2,z'
loop_
_atom_site_label
_atom_site_type_symbol
_atom_site_fract_x
_atom_site_fract_y
_atom_site_fract_z
Y1 Y 0.2500 0.2500 0.2138
Ho1 Ho 0.2500 0.2500 0.7679
In1 In 0.2500 0.7500 0.5000
```

(8)
# Pm6Co2PdBr3

An optimized crystal structure of Pm6Co2PdBr3 (GGA-PBE, the Alexandria database).

Summary:
The value obtained for the uncorrected formation energy is -0.8324 eV/atom. Its crystal system is monoclinic.

Geometry as CIF:
```
data_Pm6Co2PdBr3
_cell_length_a 19.3900
_cell_length_b 4.0402
_cell_length_c 9.0558
_cell_angle_alpha 90.00
_cell_angle_beta 111.47
_cell_angle_gamma 90.00
_space_group_name_H-M_alt 'C 1 2/m 1'
_space_group_IT_number 12
loop_
_space_group_symop_operation_xyz
'x,y,z'
'-x,-y,-z'
'-x,y,-z'
'x,-y,z'
'x+1/2,y+1/2,z'
'-x+1/2,-y+1/2,-z'
'-x+1/2,y+1/2,-z'
'x+1/2,-y+1/2,z'
loop_
_atom_site_label
_atom_site_type_symbol
_atom_site_fract_x
_atom_site_fract_y
_atom_site_fract_z
Pm1 Pm 0.0207 0.0000 0.2363
Pm2 Pm 0.1615 0.5000 0.1294
Pm3 Pm 0.1809 0.5000 0.5537
Co1 Co 0.1678 0.0000 0.3371
Pd1 Pd 0.0000 0.5000 0.0000
Br1 Br 0.0000 0.5000 0.5000
Br2 Br 0.1661 0.0000 0.8341
```

no.,uncorrected energy (eV/cell)
1,-12.4
2,-48.4
3,-55.6
4,-234.4
5,-21.0
6,-253.5
7,-28.1
8,-125.8